A plane-wave DFT calculation with PBE was carried out for a relaxed structure of Tl2HgH.

E_tot (eV per atom): -1.91
ΔE to the lowest computed polymorph (meV per atom): 1.4
Volume (Å³ per cell): 204
DOS(E_F) (states/eV per atom): 0.230

Unit cell a=3.2911 b=8.0231 c=8.0547 alpha=101.75 beta=90.00 gamma=101.84
Closest atoms and distances in Å follow each position.
Atoms (fractional coordinates):
Tl  0.7375  0.4750  0.2152  3 H 2.35-2.59
Tl  0.4414  0.8828  0.1489  2 H 2.60
Tl  0.5586  0.1172  0.8511  2 H 2.60
Tl  0.2625  0.5250  0.7848  3 H 2.35-2.59
Hg  0.6050  0.2100  0.4731  5 Tl 3.23-3.54, 3 Hg 3.29-3.42
Hg  0.3950  0.7900  0.5269  5 Tl 3.23-3.54, 3 Hg 3.29-3.42
H  0.1727  0.3454  0.0204  5 Tl 2.35-2.60
H  0.8273  0.6546  0.9796  5 Tl 2.35-2.60